1.
A plane-wave DFT calculation with GGA-PBE was carried out for Th2HgGe after structural relaxation.

DFT formation energy (eV per atom): -0.43
Size of the total moment (μB/f.u.): 0.00
DOS(E_F) (states/eV/atom): 0.466
Energy relative to the lowest polymorph listed for this composition (eV/atom): 0.000

Geometry as POSCAR:
```
Th2HgGe
1.0
4.185 0.000 0.000
-2.093 3.624 0.000
0.000 0.000 23.576
Th Hg Ge
6 3 3
direct
0.000 0.000 0.240
0.000 0.000 0.760
0.333 0.667 0.426
0.333 0.667 0.907
0.667 0.333 0.093
0.667 0.333 0.574
0.000 0.000 0.000
0.333 0.667 0.667
0.667 0.333 0.333
0.000 0.000 0.500
0.333 0.667 0.167
0.667 0.333 0.833
```



2.
A plane-wave DFT calculation with GGA-PBE was carried out for Th4HgGe after structural relaxation.

DFT formation energy (eV per atom): -0.35
Size of the total moment (μB/f.u.): 0.00
DOS(E_F) (states/eV/atom): 1.236

Geometry as POSCAR:
```
Th4HgGe
1.0
7.592 0.000 0.000
0.000 7.592 0.000
0.000 0.000 5.997
Th Hg Ge
8 2 2
direct
0.150 0.334 0.000
0.150 0.666 0.500
0.334 0.150 0.500
0.334 0.850 0.000
0.666 0.150 0.000
0.666 0.850 0.500
0.850 0.334 0.500
0.850 0.666 0.000
0.500 0.500 0.250
0.500 0.500 0.750
0.000 0.000 0.250
0.000 0.000 0.750
```